# 1
## LaGa3Pt (GGA-PBEsol)

Data for an optimized crystal structure of LaGa3Pt.

## Properties
Energy, eV/atom: -5.24
Formation enthalpy at 0 K, eV per atom: -0.777

a b c (Å): 6.1143 6.1143 6.1143
angles (deg): 139.58 139.58 58.50
Fractional coordinates of all 5 atoms:
La (0.0000, 0.0000, 0.0000)
Ga (0.2500, 0.7500, 0.5000)
Ga (0.3835, 0.3835, 0.0000)
Ga (0.6165, 0.6165, 0.0000)
Pt (0.7500, 0.2500, 0.5000)

=====

# 2
## Ag2SbMo (GGA-PBEsol)

Data for an optimized crystal structure of Ag2SbMo.

## Properties
Energy relative to the elements, uncorrected, eV per atom: 0.368
Energy, eV/atom: -5.37

a b c (Å): 3.9590 3.9590 4.4592
angles (deg): 90.00 90.00 90.00
Fractional coordinates of all 4 atoms:
Ag (0.0000, 0.5000, 0.0000)
Ag (0.5000, 0.0000, 0.0000)
Sb (0.0000, 0.0000, 0.5000)
Mo (0.5000, 0.5000, 0.5000)

=====

# 3
## FeAsPS2 (GGA-PBEsol)

Data for an optimized crystal structure of FeAsPS2.

## Properties
Energy relative to the elements, uncorrected, eV per atom: 0.506
Energy, eV/atom: -5.22

a b c (Å): 4.1085 4.1085 5.0267
angles (deg): 90.00 90.00 90.00
Fractional coordinates of all 5 atoms:
Fe (0.0000, 0.0000, 0.0000)
As (0.0000, 0.0000, 0.5000)
P (0.5000, 0.5000, 0.5000)
S (0.0000, 0.5000, 0.0000)
S (0.5000, 0.0000, 0.0000)

=====

# 4
## PrSe2 (GGA-PBEsol)

Data for an optimized crystal structure of PrSe2.

## Properties
Energy relative to the elements, uncorrected, eV per atom: -1.665
Energy, eV/atom: -5.96

a b c (Å): 4.1301 4.1301 8.5155
angles (deg): 90.00 90.00 90.00
Fractional coordinates of all 6 atoms:
Pr (0.2500, 0.2500, 0.2266)
Pr (0.7500, 0.7500, 0.7734)
Se (0.2500, 0.2500, 0.8673)
Se (0.2500, 0.7500, 0.5000)
Se (0.7500, 0.2500, 0.5000)
Se (0.7500, 0.7500, 0.1327)

=====

# 5
## ZrAg2Pb (GGA-PBEsol)

Data for an optimized crystal structure of ZrAg2Pb.

## Properties
Energy, eV/atom: -4.92
Formation enthalpy at 0 K, eV per atom: 0.005

a b c (Å): 3.0484 4.7769 5.6283
angles (deg): 90.00 94.26 90.00
Fractional coordinates of all 4 atoms:
Zr (0.0000, 0.0000, 0.0000)
Ag (0.4336, 0.5000, 0.7652)
Ag (0.5664, 0.5000, 0.2348)
Pb (0.5000, 0.0000, 0.5000)

=====

# 6
## MnRu5 (GGA-PBEsol)

Data for an optimized crystal structure of MnRu5.

## Properties
Energy, eV/atom: -10.09
Formation enthalpy at 0 K, eV per atom: 0.016

a b c (Å): 4.9598 4.9598 6.2135
angles (deg): 103.05 103.05 31.18
Fractional coordinates of all 6 atoms:
Mn (0.0000, 0.0000, 0.0000)
Ru (0.0561, 0.0561, 0.6158)
Ru (0.3363, 0.3363, 0.6739)
Ru (0.3918, 0.3918, 0.2722)
Ru (0.6663, 0.6663, 0.3309)
Ru (0.7199, 0.7199, 0.9478)

=====

# 7
## ZrReNi2 (GGA-PBEsol)

Data for an optimized crystal structure of ZrReNi2.

## Properties
Energy, eV/atom: -8.68
Polymorph energy (0 for the lowest one), eV/atom: 0.1151
Formation enthalpy at 0 K, eV per atom: 0.008

a b c (Å): 5.2079 5.2079 5.2079
angles (deg): 148.89 129.98 60.08
Fractional coordinates of all 4 atoms:
Zr (0.0000, 0.0000, 0.0000)
Re (0.7192, 0.2192, 0.5000)
Ni (0.2602, 0.7602, 0.5000)
Ni (0.4785, 0.4785, 0.0000)

=====

# 8
## CsSrSbTe2 (GGA-PBEsol)

Data for an optimized crystal structure of CsSrSbTe2.

## Properties
Energy relative to the elements, uncorrected, eV per atom: 0.379
Energy, eV/atom: -2.50

a b c (Å): 6.1300 6.1300 5.9224
angles (deg): 90.00 90.00 90.00
Fractional coordinates of all 5 atoms:
Cs (0.0000, 0.0000, 0.0000)
Sr (0.5000, 0.5000, 0.5000)
Sb (0.0000, 0.0000, 0.5000)
Te (0.0000, 0.5000, 0.0000)
Te (0.5000, 0.0000, 0.0000)

=====

# 9
## K2LaCl (GGA-PBEsol)

Data for an optimized crystal structure of K2LaCl.

## Properties
Energy relative to the elements, uncorrected, eV per atom: -0.596
Energy, eV/atom: -3.00

a b c (Å): 3.7776 3.6897 11.8242
angles (deg): 90.00 98.70 90.00
Fractional coordinates of all 4 atoms:
K (0.0000, 0.0000, 0.0000)
K (0.3046, 0.5000, 0.6477)
La (0.6443, 0.5000, 0.3048)
Cl (0.7353, 0.0000, 0.5006)

=====

# 10
## SiWSN2 (GGA-PBEsol)

Data for an optimized crystal structure of SiWSN2.

## Properties
Energy relative to the elements, uncorrected, eV per atom: 0.361
Energy, eV/atom: -7.84

a b c (Å): 3.8749 3.8749 4.8650
angles (deg): 90.00 90.00 90.00
Fractional coordinates of all 5 atoms:
Si (0.0000, 0.0000, 0.0000)
W (0.5000, 0.5000, 0.5000)
S (0.5000, 0.5000, 0.0000)
N (0.0000, 0.5000, 0.5000)
N (0.5000, 0.0000, 0.5000)

=====

# 11
## Rb3AgSn3Se8 (GGA-PBEsol)

Data for an optimized crystal structure of Rb3AgSn3Se8.

## Properties
Energy relative to the elements, uncorrected, eV per atom: -0.634
Energy, eV/atom: -3.97

a b c (Å): 8.3010 8.3010 13.3879
angles (deg): 90.00 90.00 90.00
Fractional coordinates of all 30 atoms:
Rb (0.2500, 0.2500, 0.0000)
Rb (0.2500, 0.2500, 0.2740)
Rb (0.2500, 0.2500, 0.7260)
Rb (0.7500, 0.7500, 0.0000)
Rb (0.7500, 0.7500, 0.2740)
Rb (0.7500, 0.7500, 0.7260)
Ag (0.2500, 0.7500, 0.0000)
Ag (0.7500, 0.2500, 0.0000)
Sn (0.2500, 0.7500, 0.2392)
Sn (0.2500, 0.7500, 0.5000)
Sn (0.2500, 0.7500, 0.7608)
Sn (0.7500, 0.2500, 0.2392)
Sn (0.7500, 0.2500, 0.5000)
Sn (0.7500, 0.2500, 0.7608)
Se (0.0733, 0.5733, 0.1352)
Se (0.0733, 0.9267, 0.8648)
Se (0.0863, 0.5863, 0.6257)
Se (0.0863, 0.9137, 0.3743)
Se (0.4137, 0.5863, 0.3743)
Se (0.4137, 0.9137, 0.6257)
Se (0.4267, 0.5733, 0.8648)
Se (0.4267, 0.9267, 0.1352)
Se (0.5733, 0.0733, 0.8648)
Se (0.5733, 0.4267, 0.1352)
Se (0.5863, 0.0863, 0.3743)
Se (0.5863, 0.4137, 0.6257)
Se (0.9137, 0.0863, 0.6257)
Se (0.9137, 0.4137, 0.3743)
Se (0.9267, 0.0733, 0.1352)
Se (0.9267, 0.4267, 0.8648)

=====

# 12
## HfSbPdPb2 (GGA-PBEsol)

Data for an optimized crystal structure of HfSbPdPb2.

## Properties
Energy relative to the elements, uncorrected, eV per atom: 0.664
Energy, eV/atom: -5.14

a b c (Å): 5.5476 5.5476 4.8321
angles (deg): 90.00 90.00 90.00
Fractional coordinates of all 5 atoms:
Hf (0.0000, 0.0000, 0.0000)
Sb (0.5000, 0.5000, 0.5000)
Pd (0.0000, 0.0000, 0.5000)
Pb (0.0000, 0.5000, 0.0000)
Pb (0.5000, 0.0000, 0.0000)